Compound: Ba2FeBiF
Source: the Alexandria database
Functional: GGA+U
Structure: optimized geometry

calculated total energy: -18.0 eV/cell
SG: P4/mmm, No. 123

Cell: 6.350 6.350 4.998 Å, 90.00 90.00 90.00°
Positions (direct):
Ba  0.000  0.500  0.000
Ba  0.500  0.000  0.000
Fe  0.000  0.000  0.000
Bi  0.000  0.000  0.500
F  0.500  0.500  0.500